The following is a DFT calculation (PBE-GGA) of crystalline ZrCr3Re at its relaxed geometry.

a b c (Å): 4.5509 4.5509 4.5509
angles (deg): 90.00 90.00 90.00
Last column: nearest neighbours and their distance in Å.
Space group Pm-3m (No. 221)
Inequivalent atoms, fractional coordinates:
Zr  0.0000  0.0000  0.0000  12 Cr 3.22
Cr  0.0000  0.5000  0.5000  2 Re 2.28
Re  0.5000  0.5000  0.5000  6 Cr 2.28

ΔE_f	1122	meV per atom
crystal system	cubic

=====

The following is a DFT calculation (PBE-GGA) of crystalline ZrCrRe at its relaxed geometry.

a b c (Å): 4.3991 4.3991 2.8646
angles (deg): 90.00 90.00 120.00
Last column: nearest neighbours and their distance in Å.
Space group P3m1 (No. 156)
Inequivalent atoms, fractional coordinates:
Zr  0.0000  0.0000  0.0000  3 Cr 2.73, 3 Re 2.74, 2 Zr 2.86
Cr  0.6667  0.3333  0.3458  3 Re 2.68, 3 Zr 2.73, 2 Cr 2.86
Re  0.3333  0.6667  0.6398  3 Cr 2.68, 3 Zr 2.74, 2 Re 2.86

ΔE_f	116	meV per atom
excess energy over the best structure of this formula in the dataset	370	meV per atom
crystal system	trigonal

=====

The following is a DFT calculation (PBE-GGA) of crystalline ZrCrRe at its relaxed geometry.

a b c (Å): 5.1362 5.2590 7.2945
angles (deg): 90.00 90.00 90.00
Last column: nearest neighbours and their distance in Å.
Space group Imma (No. 74)
Inequivalent atoms, fractional coordinates:
Zr  0.0000  0.2500  0.1244  6 Cr 3.02-3.07, 6 Re 3.02-3.04, 4 Zr 3.15-3.20
Cr  0.2500  0.2500  0.7500  2 Cr 2.57, 4 Re 2.59
Re  0.0000  0.0000  0.5000  4 Cr 2.59, 2 Re 2.63

ΔE_f	-254	meV per atom
excess energy over the best structure of this formula in the dataset	0	meV per atom
crystal system	orthorhombic

=====

The following is a DFT calculation (PBE-GGA) of crystalline Zr2CrRe at its relaxed geometry.

a b c (Å): 5.8197 8.8371 2.9088
angles (deg): 90.00 111.37 90.00
Last column: nearest neighbours and their distance in Å.
Space group C2/m (No. 12)
Inequivalent atoms, fractional coordinates:
Zr  0.2500  0.2500  0.0000  2 Cr 2.75, 2 Re 2.75, 4 Zr 2.91
Cr  0.0000  0.0000  0.5000  4 Zr 2.75, 2 Cr 2.91, 2 Re 2.91
Re  0.0000  0.5000  0.5000  4 Zr 2.75, 2 Re 2.91, 2 Cr 2.91

ΔE_f	193	meV per atom
excess energy over the best structure of this formula in the dataset	229	meV per atom
crystal system	monoclinic

=====

The following is a DFT calculation (PBE-GGA) of crystalline Zr2CrRe at its relaxed geometry.

a b c (Å): 3.3188 3.3188 6.6004
angles (deg): 90.00 90.00 90.00
Last column: nearest neighbours and their distance in Å.
Space group P4/mmm (No. 123)
Inequivalent atoms, fractional coordinates:
Zr  0.0000  0.0000  0.2446  4 Re 2.85, 4 Cr 2.89
Cr  0.5000  0.5000  0.5000  8 Zr 2.89
Re  0.5000  0.5000  0.0000  8 Zr 2.85

ΔE_f	-13	meV per atom
excess energy over the best structure of this formula in the dataset	23	meV per atom
crystal system	tetragonal

=====

The following is a DFT calculation (PBE-GGA) of crystalline ZrCrRe at its relaxed geometry.

a b c (Å): 6.0013 6.0013 6.0013
angles (deg): 90.00 90.00 90.00
Last column: nearest neighbours and their distance in Å.
Space group F-43m (No. 216)
Inequivalent atoms, fractional coordinates:
Zr  0.0000  0.0000  0.0000  4 Cr 2.60
Cr  0.2500  0.2500  0.7500  4 Zr 2.60, 4 Re 2.60
Re  0.0000  0.0000  0.5000  4 Cr 2.60

ΔE_f	476	meV per atom
excess energy over the best structure of this formula in the dataset	730	meV per atom
crystal system	cubic

=====

The following is a DFT calculation (PBE-GGA) of crystalline Cr5Rh at its relaxed geometry.

a b c (Å): 4.4916 4.4916 4.2055
angles (deg): 90.00 90.00 120.00
Last column: nearest neighbours and their distance in Å.
Space group P-62m (No. 189)
Inequivalent atoms, fractional coordinates:
Cr  0.0000  0.6561  0.0000  10 Cr 2.55-2.68, 2 Rh 2.61
Cr  0.3333  0.6667  0.5000  9 Cr 2.57-2.59, 3 Rh 2.59
Rh  0.0000  0.0000  0.5000  12 Cr 2.59-2.61

ΔE_f	257	meV per atom
excess energy over the best structure of this formula in the dataset	233	meV per atom
crystal system	hexagonal

=====

The following is a DFT calculation (PBE-GGA) of crystalline Cr5Rh at its relaxed geometry.

a b c (Å): 4.1743 12.3489 2.9316
angles (deg): 90.00 90.00 90.00
Last column: nearest neighbours and their distance in Å.
Space group Cmmm (No. 65)
Inequivalent atoms, fractional coordinates:
Cr  0.0000  0.0000  0.0000  4 Cr 2.51, 4 Rh 2.55
Cr  0.0000  0.1653  0.5000  8 Cr 2.46-2.55
Cr  0.0000  0.3256  0.0000  6 Cr 2.46-2.55, 2 Rh 2.61
Rh  0.0000  0.5000  0.5000  8 Cr 2.55-2.61

ΔE_f	44	meV per atom
excess energy over the best structure of this formula in the dataset	20	meV per atom
crystal system	orthorhombic

=====

The following is a DFT calculation (PBE-GGA) of crystalline Cr3Rh13 at its relaxed geometry.

a b c (Å): 7.6417 7.5869 7.6524
angles (deg): 90.00 90.00 90.00
Last column: nearest neighbours and their distance in Å.
Space group Amm2 (No. 38)
Inequivalent atoms, fractional coordinates:
Cr  0.0000  0.0000  0.0000  10 Rh 2.60-2.74, 2 Cr 2.82
Cr  0.2578  0.0000  0.2632  11 Rh 2.61-2.71, 1 Cr 2.82
Rh  0.0000  0.0000  0.5061  10 Rh 2.63-2.76, 2 Cr 2.71
Rh  0.0000  0.2364  0.2543  8 Rh 2.63-2.76, 4 Cr 2.65-2.74
Rh  0.2422  0.0000  0.7620  1 Cr 2.60, 11 Rh 2.66-2.79
Rh  0.2476  0.2458  0.0104  3 Cr 2.66-2.70, 9 Rh 2.66-2.73
Rh  0.5000  0.0000  0.0137  2 Cr 2.66, 10 Rh 2.67-2.76
Rh  0.5000  0.0000  0.5032  2 Cr 2.61, 10 Rh 2.66-2.79
Rh  0.5000  0.2498  0.2598  2 Cr 2.65, 10 Rh 2.66-2.74

ΔE_f	-57	meV per atom
crystal system	orthorhombic

=====

The following is a DFT calculation (PBE-GGA) of crystalline Cr5Rh at its relaxed geometry.

a b c (Å): 4.7214 4.7214 3.9744
angles (deg): 90.00 90.00 120.00
Last column: nearest neighbours and their distance in Å.
Space group P6/mmm (No. 191)
Inequivalent atoms, fractional coordinates:
Cr  0.0000  0.5000  0.0000  8 Cr 2.36-2.41
Cr  0.3333  0.6667  0.5000  6 Cr 2.41
Rh  0.0000  0.0000  0.5000  6 Cr 2.73

ΔE_f	352	meV per atom
excess energy over the best structure of this formula in the dataset	328	meV per atom
crystal system	hexagonal

=====

The following is a DFT calculation (PBE-GGA) of crystalline Cr5Rh at its relaxed geometry.

a b c (Å): 2.8849 2.8849 8.9126
angles (deg): 90.00 90.00 90.00
Last column: nearest neighbours and their distance in Å.
Space group P4/mmm (No. 123)
Inequivalent atoms, fractional coordinates:
Cr  0.0000  0.0000  0.0000  10 Cr 2.50-2.78
Cr  0.0000  0.0000  0.3115  4 Cr 2.44, 4 Rh 2.64
Cr  0.5000  0.5000  0.1613  8 Cr 2.44-2.50
Rh  0.5000  0.5000  0.5000  8 Cr 2.64, 4 Rh 2.88

ΔE_f	24	meV per atom
excess energy over the best structure of this formula in the dataset	0	meV per atom
crystal system	tetragonal

=====

The following is a DFT calculation (PBE-GGA) of crystalline Cr5Rh at its relaxed geometry.

a b c (Å): 2.8804 12.1305 4.1706
angles (deg): 90.00 90.00 90.00
Last column: nearest neighbours and their distance in Å.
Space group Cmmm (No. 65)
Inequivalent atoms, fractional coordinates:
Cr  0.0000  0.0000  0.0000  4 Cr 2.45, 4 Rh 2.53
Cr  0.0000  0.1786  0.5000  2 Cr 2.25
Cr  0.0000  0.3368  0.0000  8 Cr 2.45-2.55
Rh  0.0000  0.5000  0.5000  8 Cr 2.53-2.60

ΔE_f	86	meV per atom
excess energy over the best structure of this formula in the dataset	62	meV per atom
crystal system	orthorhombic

=====

no.,raw total energy (eV/atom),magnetic moment (μB/atom)
1,-8.851,1.03
2,-10.091,0.00
3,-10.461,0.00
4,-9.599,0.00
5,-9.805,0.64
6,-9.731,0.00
7,-8.987,0.00
8,-9.200,0.47
9,-7.834,0.20
10,-8.893,0.00
11,-9.221,0.40
12,-9.159,0.00